No. 1
The following is a DFT calculation (PBE) of a geometry-optimized Zn4Sb structure.

a b c (Å): 5.411 5.411 5.411
angles (deg): 90.00 90.00 90.00
Fractional positions:
Sb 0.500 0.500 0.500
Zn 0.000 0.000 0.000
Zn 0.500 0.000 0.500
Zn 0.000 0.500 0.500
Zn 0.500 0.500 0.000

**E**: -6.33 eV per cell
**Total moment**: 0.000 μB/cell
**E above lowest polymorph**: 142 meV/atom

---

No. 2
The following is a DFT calculation (PBE) of a geometry-optimized Ca2TbCd structure.

a b c (Å): 3.753 3.753 11.224
angles (deg): 80.38 80.38 60.00
Fractional positions:
Ca 0.075 0.075 0.775
Ca 0.258 0.258 0.226
Tb 0.501 0.501 0.498
Cd 0.666 0.666 0.001

**E**: -9.63 eV per cell
**ΔE_f**: -0.0201 eV per atom
**Total moment**: 0.220 μB/cell
**E above lowest polymorph**: 34 meV/atom

---

No. 3
The following is a DFT calculation (PBE) of a geometry-optimized ZnCr2Ag structure.

a b c (Å): 2.658 2.658 8.661
angles (deg): 90.00 90.00 112.96
Fractional positions:
Ag 0.500 0.500 0.756
Cr 0.000 0.000 0.033
Cr 0.500 0.500 0.230
Zn 0.000 0.000 0.482

**E**: -22.36 eV per cell
**ΔE_f**: 0.2527 eV per atom
**Total moment**: 0.000 μB/cell